No. 1
Below is a geometry-optimized Li4H3I4 structure, with properties calculated at the PBE level.

## Properties
Calculated total energy in eV/cell: -31.306

a b c (Å): 5.0395 4.5046 16.7386
angles (deg): 88.02 89.69 124.01
Last column: magnetic moment on the atom in μB.
Atoms (fractional coordinates):
I1 0.9652 0.9451 0.9410  0.04
I2 0.1819 0.3551 0.5005  0.00
I3 0.6149 0.2351 0.7247  0.22
I4 0.5758 0.1355 0.2938  0.00
Li1 0.5998 0.2131 0.9023  0.00
Li2 0.2109 0.4068 0.3313  0.00
Li3 0.1470 0.3017 0.7887  0.03
Li4 0.5457 0.0818 0.4627  0.00
H1 0.3887 0.7873 0.8232  0.23
H2 0.2438 0.4901 0.1024  0.00
H3 0.3247 0.6455 0.1295  0.00

No. 2
Below is a geometry-optimized LiH2I2 structure, with properties calculated at the PBE level.

## Properties
Energy above the most stable polymorph in this dataset in kJ per mole of atoms: 0.0

a b c (Å): 4.5444 7.7736 6.4749
angles (deg): 53.11 69.46 90.00
Last column: magnetic moment on the atom in μB.
Atoms (fractional coordinates):
I1 0.6749 0.1749 0.6503  0.31
I2 0.3251 0.8251 0.3497  0.31
H1 0.4174 0.5000 0.0000  0.00
H2 0.5826 0.5000 0.0000  0.00
Li1 0.0000 0.0000 0.0000  0.00

No. 3
Below is a geometry-optimized LiH6IN2 structure, with properties calculated at the PBE level.

## Properties
Calculated total energy in eV/cell: -91.845

a b c (Å): 7.8166 7.8166 6.7111
angles (deg): 91.61 91.61 119.85
Atoms (fractional coordinates):
H1 0.6520 0.9021 0.0998
H2 0.2800 0.0782 0.6620
H3 0.9218 0.7200 0.8380
H4 0.9939 0.4245 0.2370
H5 0.7200 0.9218 0.3380
H6 0.5755 0.0061 0.2630
H7 0.4245 0.9939 0.7370
H8 0.0979 0.3480 0.4002
H9 0.0782 0.2800 0.1620
H10 0.0061 0.5755 0.7630
H11 0.9021 0.6520 0.5998
H12 0.3480 0.0979 0.9002
I1 0.6096 0.3904 0.2500
I2 0.3904 0.6096 0.7500
Li1 0.4021 0.5979 0.2500
Li2 0.5979 0.4021 0.7500
N1 0.8921 0.6039 0.7416
N2 0.3961 0.1079 0.7584
N3 0.6039 0.8921 0.2416
N4 0.1079 0.3961 0.2584

No. 4
Below is a geometry-optimized Li6HI2N structure, with properties calculated at the PBE level.

## Properties
Calculated total energy in eV/cell: -65.679

a b c (Å): 6.3652 6.9644 8.1320
angles (deg): 90.00 90.00 90.00
Atoms (fractional coordinates):
I1 0.5000 0.6920 0.7389
I2 0.0000 0.3080 0.7611
I3 0.5000 0.6920 0.2611
I4 0.0000 0.3080 0.2389
Li1 0.7906 0.6119 0.0000
Li2 0.0000 0.7965 0.2426
Li3 0.5000 0.2035 0.7426
Li4 0.2202 0.0068 0.0000
Li5 0.7202 0.9932 0.5000
Li6 0.0000 0.7965 0.7574
Li7 0.7094 0.3881 0.5000
Li8 0.2906 0.3881 0.5000
Li9 0.2798 0.9932 0.5000
Li10 0.5000 0.2035 0.2574
Li11 0.7798 0.0068 0.0000
Li12 0.2094 0.6119 0.0000
H1 0.5000 0.1374 0.0000
H2 0.0000 0.8626 0.5000
N1 0.5000 0.1874 0.5000
N2 0.0000 0.8126 0.0000

No. 5
Below is a geometry-optimized LiH6IO7 structure, with properties calculated at the PBE level.

## Properties
Energy above the most stable polymorph in this dataset in kJ per mole of atoms: 0.8

a b c (Å): 5.9772 6.7069 11.0069
angles (deg): 107.18 93.68 122.14
Last column: magnetic moment on the atom in μB.
Atoms (fractional coordinates):
H1 0.6767 0.1236 0.2812  0.00
H2 0.6093 0.9459 0.7062  0.00
H3 0.7128 0.3507 0.7411  0.00
H4 0.3907 0.0541 0.2938  0.00
H5 0.6207 0.9222 0.8955  0.00
H6 0.3793 0.0778 0.1045  0.00
H7 0.8056 0.1214 0.5444  0.00
H8 0.1944 0.8786 0.4556  0.00
H9 0.3233 0.8764 0.7188  0.00
H10 0.2872 0.6493 0.2589  0.00
H11 0.3911 0.0973 0.9638  0.00
H12 0.6089 0.9027 0.0362  0.00
O1 0.8189 0.6601 0.1248  0.00
O2 0.2653 0.0387 0.0176  0.00
O3 0.3555 0.5679 0.1963  -0.01
O4 0.7347 0.9613 0.9824  0.00
O5 0.5363 0.1511 0.2535  0.00
O6 0.1638 0.8294 0.3588  0.00
O7 0.6445 0.4321 0.8037  -0.01
O8 0.1468 0.9667 0.6410  0.00
O9 0.1811 0.3399 0.8752  0.00
O10 0.4637 0.8489 0.7465  0.00
O11 0.4631 0.5586 0.4811  0.78
O12 0.8532 0.0333 0.3590  0.00
O13 0.5369 0.4414 0.5189  0.78
O14 0.8362 0.1706 0.6412  0.00
I1 0.2445 0.2938 0.7151  0.00
I2 0.7555 0.7062 0.2849  0.00
Li1 0.8701 0.7308 0.9673  0.00
Li2 0.1299 0.2692 0.0327  0.00

No. 6
Below is a geometry-optimized Li2HIO structure, with properties calculated at the PBE level.

## Properties
Energy above the most stable polymorph in this dataset in kJ per mole of atoms: 10.3

a b c (Å): 3.6236 6.2732 7.1423
angles (deg): 106.96 90.00 90.00
Atoms (fractional coordinates):
Li1 0.7500 0.8332 0.6535
Li2 0.7500 0.8517 0.0330
Li3 0.2500 0.1483 0.9670
Li4 0.2500 0.1668 0.3465
I1 0.2500 0.6923 0.3014
I2 0.7500 0.3077 0.6986
H1 0.2500 0.6754 0.8070
H2 0.7500 0.3246 0.1930
O1 0.7500 0.1622 0.1638
O2 0.2500 0.8378 0.8362

No. 7
Below is a geometry-optimized LiH6IO7 structure, with properties calculated at the PBE level.

## Properties
Energy above the most stable polymorph in this dataset in kJ per mole of atoms: 0.0

a b c (Å): 5.7684 5.8477 9.6918
angles (deg): 103.93 93.04 114.61
Atoms (fractional coordinates):
O1 0.8315 0.6871 0.5344
O2 0.8391 0.1694 0.6404
O3 0.1609 0.8306 0.3596
O4 0.6376 0.3684 0.0421
O5 0.8152 0.6087 0.7992
O6 0.2115 0.0595 0.7582
O7 0.4513 0.7379 0.6817
O8 0.8410 0.0663 0.8969
O9 0.3624 0.6316 0.9579
O10 0.7885 0.9405 0.2418
O11 0.1685 0.3129 0.4656
O12 0.1590 0.9337 0.1031
O13 0.5487 0.2621 0.3183
O14 0.1848 0.3913 0.2008
H1 0.2877 0.9388 0.7154
H2 0.1849 0.5493 0.2701
H3 0.7123 0.0612 0.2846
H4 0.0393 0.7991 0.4329
H5 0.2924 0.7453 0.0163
H6 0.8151 0.4507 0.7299
H7 0.3735 0.5868 0.5896
H8 0.3473 0.6472 0.8596
H9 0.7076 0.2547 0.9837
H10 0.6527 0.3528 0.1404
H11 0.9607 0.2009 0.5671
H12 0.6265 0.4132 0.4104
I1 0.1666 0.1152 0.2861
I2 0.8334 0.8848 0.7139
Li1 0.7523 0.7297 0.0132
Li2 0.2477 0.2703 0.9868

No. 8
Below is a geometry-optimized Li2HIO4 structure, with properties calculated at the PBE level.

## Properties
Calculated total energy in eV/cell: -37.550

a b c (Å): 5.4268 5.1778 5.3244
angles (deg): 127.36 127.43 76.50
Atoms (fractional coordinates):
Li1 0.2639 0.2945 0.5515
Li2 0.4983 0.0319 0.0416
O1 0.3980 0.8571 0.2220
O2 0.7996 0.3952 0.2303
O3 0.5212 0.5961 0.6077
O4 0.0845 0.1056 0.6741
H1 0.0757 0.3214 0.8705
I1 0.7458 0.7852 0.5764

No. 9
Below is a geometry-optimized Li2HIO structure, with properties calculated at the PBE level.

## Properties
Energy above the most stable polymorph in this dataset in kJ per mole of atoms: 0.0

a b c (Å): 5.6633 6.5939 10.6064
angles (deg): 90.00 90.00 90.00
Atoms (fractional coordinates):
O1 0.2500 0.5843 0.9802
O2 0.7500 0.0843 0.5198
O3 0.2500 0.9157 0.4802
O4 0.7500 0.4157 0.0198
I1 0.7500 0.9199 0.1794
I2 0.7500 0.5801 0.6794
I3 0.2500 0.0801 0.8206
I4 0.2500 0.4199 0.3206
H1 0.2500 0.7234 0.9476
H2 0.2500 0.7766 0.4476
H3 0.7500 0.2234 0.5524
H4 0.7500 0.2766 0.0524
Li1 0.0004 0.5648 0.1085
Li2 0.9996 0.0648 0.3915
Li3 0.9996 0.4352 0.8915
Li4 0.4996 0.9352 0.6085
Li5 0.4996 0.5648 0.1085
Li6 0.0004 0.9352 0.6085
Li7 0.5004 0.0648 0.3915
Li8 0.5004 0.4352 0.8915

No. 10
Below is a geometry-optimized Li2HIO structure, with properties calculated at the PBE level.

## Properties
Energy above the most stable polymorph in this dataset in kJ per mole of atoms: 140.0

a b c (Å): 5.2719 4.1014 5.2719
angles (deg): 90.00 90.00 90.00
Atoms (fractional coordinates):
Li1 0.0000 0.0000 0.5000
Li2 0.5000 0.0000 0.0000
O1 0.0000 0.5000 0.0000
H1 0.5000 0.5000 0.5000
I1 0.0000 0.0000 0.0000

No. 11
Below is a geometry-optimized Li2HPtI structure, with properties calculated at the PBE level.

## Properties
Calculated total energy in eV/cell: -17.055

a b c (Å): 4.6314 4.6314 3.6239
angles (deg): 90.00 90.00 90.00
Atoms (fractional coordinates):
I1 0.5000 0.5000 0.5000
H1 0.0000 0.0000 0.0000
Li1 0.5000 0.0000 0.0000
Li2 0.0000 0.5000 0.0000
Pt1 0.0000 0.0000 0.5000

No. 12
Below is a geometry-optimized Rb2LiHI6 structure, with properties calculated at the PBE level.

## Properties
Calculated total energy in eV/cell: -21.809

a b c (Å): 7.5558 7.5558 8.6491
angles (deg): 64.10 64.10 90.00
Atoms (fractional coordinates):
Rb1 0.2500 0.7500 0.5000
Rb2 0.7500 0.2500 0.5000
I1 0.2115 0.2115 0.5770
I2 0.7242 0.7242 0.0000
I3 0.2758 0.2758 0.0000
I4 0.7242 0.2758 0.0000
I5 0.2758 0.7242 0.0000
I6 0.7885 0.7885 0.4230
Li1 0.0000 0.0000 0.0000
H1 0.5000 0.5000 0.0000